Here is a relaxed FeCu2Tc crystal from Alexandria via LeMat-Bulk. Energies are from PBE.

Computed properties:
Its space group is I-42d (122). Its volume is 110 Å³ per cell. The calculation puts the formation energy at 0.752 eV/atom. The value obtained for the energy above the most stable polymorph in this dataset is 601 meV per atom.

abc: 6.696 6.696 5.328
angles: 51.08 51.08 90.00
Positions (direct):
1 Cu 0.139 0.625 0.250
2 Cu 0.611 0.125 0.250
3 Cu 0.375 0.389 0.750
4 Cu 0.875 0.861 0.750
5 Fe 0.500 0.500 0.000
6 Fe 0.250 0.750 0.500
7 Tc 0.750 0.250 0.500
8 Tc 0.000 0.000 0.000

=====

Here is a relaxed InCo2Ni crystal from Alexandria via LeMat-Bulk. Energies are from PBE.

Computed properties:
Its space group is Pmm2 (25). Its volume is 53 Å³ per cell. The calculation puts the formation energy at 0.114 eV/atom.

abc: 3.064 2.988 6.562
angles: 62.95 90.00 90.00
Positions (direct):
1 Co 0.500 0.296 0.204
2 Co 0.000 0.990 0.010
3 Ni 0.500 0.719 0.781
4 In 0.000 0.495 0.505

=====

Here is a relaxed PuCoGe crystal from Alexandria via LeMat-Bulk. Energies are from PBE.

Computed properties:
Its space group is F-43m (216). Its volume is 57 Å³ per cell. The calculation puts the formation energy at -0.204 eV/atom.

abc: 4.323 4.323 4.323
angles: 60.00 60.00 60.00
Positions (direct):
1 Pu 0.500 0.500 0.500
2 Co 0.250 0.250 0.250
3 Ge 0.000 0.000 0.000

=====

Here is a relaxed GaP3H crystal from Alexandria via LeMat-Bulk. Energies are from PBE.

Computed properties:
Its space group is Pm-3m (221). Its volume is 67 Å³ per cell. The value obtained for the energy above the most stable polymorph in this dataset is 0 meV per atom.

abc: 4.055 4.055 4.055
angles: 90.00 90.00 90.00
Positions (direct):
1 H 0.000 0.000 0.000
2 Ga 0.500 0.500 0.500
3 P 0.000 0.500 0.000
4 P 0.000 0.000 0.500
5 P 0.500 0.000 0.000

=====

Here is a relaxed Pu2SiGe4Pd3 crystal from Alexandria via LeMat-Bulk. Energies are from PBE.

Computed properties:
Its space group is P-4m2 (115). Its volume is 191 Å³ per cell. As for the uncorrected formation energy: -0.463 eV per atom.

abc: 4.347 4.347 10.087
angles: 90.00 90.00 90.00
Positions (direct):
1 Pd 0.000 0.500 0.126
2 Pd 0.000 0.000 0.500
3 Pd 0.500 0.000 0.874
4 Ge 0.500 0.500 0.000
5 Ge 0.000 0.000 0.000
6 Ge 0.500 0.000 0.634
7 Ge 0.000 0.500 0.366
8 Pu 0.500 0.000 0.253
9 Pu 0.000 0.500 0.747
10 Si 0.500 0.500 0.500

=====

Here is a relaxed PuUPaRh crystal from Alexandria via LeMat-Bulk. Energies are from PBE.

Computed properties:
Its space group is F-43m (216). Its volume is 80 Å³ per cell. The calculation puts the formation energy at -0.137 eV/atom.

abc: 4.835 4.835 4.835
angles: 60.00 60.00 60.00
Positions (direct):
1 Pa 0.500 0.500 0.500
2 U 0.250 0.250 0.250
3 Pu 0.000 0.000 0.000
4 Rh 0.750 0.750 0.750

=====

Here is a relaxed KCdGa2Pd crystal from Alexandria via LeMat-Bulk. Energies are from PBE.

Computed properties:
Its space group is P4/mmm (123). Its volume is 129 Å³ per cell. The calculation puts the formation energy at -0.189 eV/atom.

abc: 4.924 4.924 5.336
angles: 90.00 90.00 90.00
Positions (direct):
1 Pd 0.000 0.000 0.000
2 K 0.500 0.500 0.500
3 Ga 0.500 0.000 0.000
4 Ga 0.000 0.500 0.000
5 Cd 0.000 0.000 0.500

=====

Here is a relaxed Zr2Be16Rh crystal from Alexandria via LeMat-Bulk. Energies are from PBE.

Computed properties:
Its space group is R3m (160). Its volume is 187 Å³ per cell. The calculation puts the formation energy at -0.298 eV/atom.

abc: 5.759 5.759 5.759
angles: 83.22 83.22 83.22
Positions (direct):
1 Be 0.343 0.343 0.841
2 Be 0.656 0.656 0.158
3 Be 0.285 0.712 0.998
4 Be 0.998 0.285 0.712
5 Be 0.107 0.107 0.107
6 Be 0.712 0.285 0.998
7 Be 0.841 0.343 0.343
8 Be 0.158 0.656 0.656
9 Be 0.001 0.001 0.498
10 Be 0.998 0.712 0.285
11 Be 0.712 0.998 0.285
12 Be 0.656 0.158 0.656
13 Be 0.285 0.998 0.712
14 Be 0.343 0.841 0.343
15 Be 0.498 0.001 0.001
16 Be 0.001 0.498 0.001
17 Rh 0.905 0.905 0.905
18 Zr 0.658 0.658 0.658
19 Zr 0.341 0.341 0.341